! Ce4Ge2Ru (PBE, optimized geometry); values from VASP
&SYSTEM
  ibrav = 0, nat = 14, ntyp = 3
/
ATOMIC_SPECIES
Ce 140.12 Ce.upf
Ge 72.64 Ge.upf
Ru 101.07 Ru.upf
CELL_PARAMETERS angstrom
7.9726 0.0000 0.0000
0.0000 8.8729 0.0000
0.0000 0.0000 4.4285
ATOMIC_POSITIONS crystal
Ce 0.1722 0.0000 0.0000
Ce 0.2500 0.2500 0.5000
Ce 0.2500 0.7500 0.5000
Ce 0.3278 0.5000 0.0000
Ce 0.6722 0.5000 0.0000
Ce 0.7500 0.2500 0.5000
Ce 0.7500 0.7500 0.5000
Ce 0.8278 0.0000 0.0000
Ge 0.0000 0.3205 0.0000
Ge 0.0000 0.6795 0.0000
Ge 0.5000 0.1795 0.0000
Ge 0.5000 0.8205 0.0000
Ru 0.0000 0.5000 0.5000
Ru 0.5000 0.0000 0.5000
! Distance to the lowest polymorph of the same formula (meV/atom): 0
! DOS(E_F) (states/eV/atom): 1.75
! Formation energy from the elements (eV/f.u.): -3.403